Entry 1:
A relaxed LiZrCd2 crystal. Source: Alexandria via LeMat-Bulk, functional PBE-GGA.

Unit cell a=2.9553 b=5.3128 c=10.8453 alpha=90.00 beta=90.00 gamma=90.00
Last column: nearest neighbours and their distance in Å.
Space group Imm2 (No. 44)
One atom of each set of equivalent atoms:
Li 0.0000 0.0000 0.0000 x2  6 Cd 2.90-3.06, 2 Li 2.96
Zr 0.0000 0.5000 0.7805 x2  2 Zr 2.96, 6 Cd 3.04-3.08
Cd 0.0000 0.0000 0.5299 x2  4 Cd 2.96-2.99, 4 Li 3.06, 2 Zr 3.08
Cd 0.0000 0.5000 0.2695 x2  2 Li 2.90, 4 Cd 2.96-2.99, 4 Zr 3.04

Results
M_tot = 0.00 μB per cell
E above lowest polymorph = 0.65 eV per formula unit
DFT formation energy = -8 meV per atom
Electronic total energy = -3.08 eV/atom
N(E_F) = 2.516 states/eV/f.u.



Entry 2:
A relaxed Ho5ThAu4 crystal. Source: Alexandria via LeMat-Bulk, functional PBE-GGA.

Unit cell a=3.5736 b=3.5736 c=19.2886 alpha=90.00 beta=90.00 gamma=90.00
Last column: nearest neighbours and their distance in Å.
Space group P4/mmm (No. 123)
One atom of each set of equivalent atoms:
Ho 0.0000 0.0000 0.0000 x1  8 Au 3.10
Ho 0.0000 0.0000 0.1878 x2  8 Au 3.10-3.12
Ho 0.0000 0.0000 0.3727 x2  4 Au 3.09
Th 0.5000 0.5000 0.5000 x1  8 Ho 3.52, 4 Th 3.57
Au 0.5000 0.5000 0.0931 x2  8 Ho 3.10-3.12
Au 0.5000 0.5000 0.2806 x2  8 Ho 3.09-3.10

Results
M_tot = 0.00 μB per cell
DFT formation energy = -694 meV per atom
Electronic total energy = -5.04 eV/atom
N(E_F) = 7.832 states/eV/f.u.



Entry 3:
A relaxed YPb crystal. Source: Alexandria via LeMat-Bulk, functional PBE-GGA.

Unit cell a=3.7110 b=5.2050 c=6.3269 alpha=90.00 beta=90.00 gamma=90.00
Last column: nearest neighbours and their distance in Å.
Space group Immm (No. 71)
One atom of each set of equivalent atoms:
Y 0.0000 0.0000 0.0000 x2  6 Pb 3.16-3.20
Pb 0.0000 0.0000 0.5000 x2  6 Y 3.16-3.20

Results
M_tot = 0.00 μB per cell
DFT formation energy = -422 meV per atom
Electronic total energy = -5.51 eV/atom
N(E_F) = 1.571 states/eV/f.u.